Record 1
The following is a DFT calculation (PBE) of crystalline KZr2Ta at its relaxed geometry.

As for the formation enthalpy at 0 K: 942 meV/atom.

It has space group C2/m (No. 12), with a = 6.7771 Å, b = 10.5864 Å, c = 2.7689 Å, α = 90.00°, β = 105.48° and γ = 90.00°. The asymmetric unit holds K at (0.0000, 0.0000, 0.0000), Zr at (0.2500, 0.2500, 0.5000) and Ta at (0.0000, 0.5000, 0.0000).

Record 2
The following is a DFT calculation (PBE) of crystalline KZr2Ta at its relaxed geometry.

As for the formation enthalpy at 0 K: 525 meV/atom.

It has space group R-3m (No. 166, hexagonal axes), with a = 3.1955 Å, b = 3.1955 Å, c = 35.1786 Å, α = 90.00°, β = 90.00° and γ = 120.00°. The asymmetric unit holds K at (0.0000, 0.0000, 0.0000), Zr at (0.0000, 0.0000, 0.2345) and Ta at (0.0000, 0.0000, 0.5000).

Record 3
The following is a DFT calculation (PBE) of crystalline KZr2Ta at its relaxed geometry.

As for the formation enthalpy at 0 K: 1114 meV/atom.

It has space group P4/mmm (No. 123), with a = 4.9174 Å, b = 4.9174 Å, c = 3.8838 Å, α = 90.00°, β = 90.00° and γ = 90.00°. The asymmetric unit holds K at (0.0000, 0.0000, 0.0000), Zr at (0.0000, 0.5000, 0.5000) and Ta at (0.5000, 0.5000, 0.0000).

Record 4
The following is a DFT calculation (PBE) of crystalline K2ZrTa at its relaxed geometry.

As for the formation enthalpy at 0 K: 739 meV/atom.

It has space group P4mm (No. 99), with a = 3.3224 Å, b = 3.3224 Å, c = 12.4795 Å, α = 90.00°, β = 90.00° and γ = 90.00°. The asymmetric unit holds K at (0.0000, 0.0000, 0.0000), K at (0.5000, 0.5000, 0.3337), Zr at (0.5000, 0.5000, 0.7230) and Ta at (0.0000, 0.0000, 0.5855).

Record 5
The following is a DFT calculation (PBE) of crystalline KZr2Ta at its relaxed geometry.

As for the formation enthalpy at 0 K: 652 meV/atom.

It has space group C2/m (No. 12), with a = 9.3622 Å, b = 3.0552 Å, c = 8.0939 Å, α = 90.00°, β = 93.12° and γ = 90.00°. The asymmetric unit holds K at (0.0000, 0.0000, 0.0000), Zr at (0.2339, 0.0000, 0.6630) and Ta at (0.0000, 0.5000, 0.5000).

Record 6
The following is a DFT calculation (PBE) of crystalline KZr2Ta at its relaxed geometry.

As for the formation enthalpy at 0 K: 888 meV/atom.

It has space group Immm (No. 71), with a = 2.9356 Å, b = 6.2212 Å, c = 11.4742 Å, α = 90.00°, β = 90.00° and γ = 90.00°. The asymmetric unit holds K at (0.0000, 0.0000, 0.0000), Zr at (0.0000, 0.5000, 0.2134) and Ta at (0.0000, 0.0000, 0.5000).

Record 7
The following is a DFT calculation (PBE) of crystalline KZr2Ta at its relaxed geometry.

As for the formation enthalpy at 0 K: 925 meV/atom.

It has space group Imm2 (No. 44), with a = 2.9450 Å, b = 5.8932 Å, c = 11.7598 Å, α = 90.00°, β = 90.00° and γ = 90.00°. The asymmetric unit holds K at (0.0000, 0.0000, 0.0000), Zr at (0.0000, 0.0000, 0.4652), Zr at (0.0000, 0.5000, 0.2152) and Ta at (0.0000, 0.5000, 0.7656).

Record 8
The following is a DFT calculation (PBE) of crystalline KZr2Ta at its relaxed geometry.

As for the formation enthalpy at 0 K: 715 meV/atom.

It has space group Cm (No. 8), with a = 10.1554 Å, b = 3.0444 Å, c = 7.6699 Å, α = 90.00°, β = 92.97° and γ = 90.00°. The asymmetric unit holds K at (0.0000, 0.0000, 0.0000), Zr at (0.0023, 0.5000, 0.5294), Zr at (0.2644, 0.5000, 0.3505) and Ta at (0.2369, 0.0000, 0.6601).

Record 9
The following is a DFT calculation (PBE) of crystalline K2ZrTa at its relaxed geometry.

As for the formation enthalpy at 0 K: 1298 meV/atom.

It has space group P4/mmm (No. 123), with a = 4.1779 Å, b = 4.1779 Å, c = 6.7044 Å, α = 90.00°, β = 90.00° and γ = 90.00°. The asymmetric unit holds K at (0.0000, 0.5000, 0.0000), Zr at (0.0000, 0.0000, 0.5000) and Ta at (0.5000, 0.5000, 0.5000).

Record 10
The following is a DFT calculation (PBE) of crystalline KZr2Ta at its relaxed geometry.

As for the formation enthalpy at 0 K: 381 meV/atom.

It has space group P2/m (No. 10), with a = 3.3580 Å, b = 3.3584 Å, c = 10.3990 Å, α = 90.00°, β = 90.25° and γ = 90.00°. The asymmetric unit holds K at (0.0000, 0.0000, 0.0000), Zr at (0.4976, 0.5000, 0.3376) and Ta at (0.0000, 0.0000, 0.5000).

Record 11
The following is a DFT calculation (PBE) of crystalline K2ZrTa at its relaxed geometry.

As for the formation enthalpy at 0 K: 1127 meV/atom.

It has space group R-3m (No. 166, hexagonal axes), with a = 3.0715 Å, b = 3.0715 Å, c = 40.7767 Å, α = 90.00°, β = 90.00° and γ = 120.00°. The asymmetric unit holds K at (0.0000, 0.0000, 0.2457), Zr at (0.0000, 0.0000, 0.0000) and Ta at (0.0000, 0.0000, 0.5000).

Record 12
The following is a DFT calculation (PBE) of crystalline K2ZrTa at its relaxed geometry.

As for the formation enthalpy at 0 K: 1565 meV/atom.

It has space group F-43m (No. 216), with a = 7.7625 Å, b = 7.7625 Å, c = 7.7625 Å, α = 90.00°, β = 90.00° and γ = 90.00°. The asymmetric unit holds K at (0.0000, 0.0000, 0.0000), K at (0.2500, 0.2500, 0.2500), Zr at (0.0000, 0.0000, 0.5000) and Ta at (0.2500, 0.2500, 0.7500).

Record 13
The following is a DFT calculation (PBE) of crystalline KZrTa at its relaxed geometry.

As for the formation enthalpy at 0 K: 703 meV/atom.

It has space group I4mm (No. 107), with a = 3.0189 Å, b = 3.0189 Å, c = 17.8956 Å, α = 90.00°, β = 90.00° and γ = 90.00°. The asymmetric unit holds K at (0.0000, 0.0000, 0.0000), Zr at (0.0000, 0.0000, 0.3011) and Ta at (0.0000, 0.0000, 0.6834).

Record 14
The following is a DFT calculation (PBE) of crystalline K3Tb at its relaxed geometry.

As for the formation enthalpy at 0 K: 586 meV/atom.

It has space group Fm-3m (No. 225), with a = 9.6747 Å, b = 9.6747 Å, c = 9.6747 Å, α = 90.00°, β = 90.00° and γ = 90.00°. The asymmetric unit holds K at (0.0000, 0.0000, 0.0000), K at (0.2500, 0.2500, 0.2500) and Tb at (0.0000, 0.0000, 0.5000).

Record 15
The following is a DFT calculation (PBE) of crystalline K4Tb at its relaxed geometry.

As for the formation enthalpy at 0 K: 727 meV/atom.

It has space group Pm-3m (No. 221), with a = 7.4040 Å, b = 7.4040 Å, c = 7.4040 Å, α = 90.00°, β = 90.00° and γ = 90.00°. The asymmetric unit holds K at (0.0000, 0.0000, 0.0000), K at (0.0000, 0.5000, 0.5000) and Tb at (0.5000, 0.5000, 0.5000).

Record 16
The following is a DFT calculation (PBE) of crystalline K3Tb at its relaxed geometry.

As for the formation enthalpy at 0 K: 571 meV/atom.

It has space group P6_3/mmc (No. 194), with a = 8.5658 Å, b = 8.5658 Å, c = 7.0712 Å, α = 90.00°, β = 90.00° and γ = 120.00°. The asymmetric unit holds K at (0.1718, 0.3437, 0.2500) and Tb at (0.3333, 0.6667, 0.7500).

Record 17
The following is a DFT calculation (PBE) of crystalline K3Tb at its relaxed geometry.

As for the formation enthalpy at 0 K: 571 meV/atom.

It has space group I4/mmm (No. 139), with a = 5.8345 Å, b = 5.8345 Å, c = 13.0579 Å, α = 90.00°, β = 90.00° and γ = 90.00°. The asymmetric unit holds K at (0.0000, 0.0000, 0.0000), K at (0.0000, 0.5000, 0.2500) and Tb at (0.0000, 0.0000, 0.5000).

Record 18
The following is a DFT calculation (PBE) of crystalline KTb4 at its relaxed geometry.

As for the formation enthalpy at 0 K: 1040 meV/atom.

It has space group Pm-3m (No. 221), with a = 5.5636 Å, b = 5.5636 Å, c = 5.5636 Å, α = 90.00°, β = 90.00° and γ = 90.00°. The asymmetric unit holds K at (0.0000, 0.0000, 0.0000), Tb at (0.0000, 0.0000, 0.5000) and Tb at (0.5000, 0.5000, 0.5000).

Record 19
The following is a DFT calculation (PBE) of crystalline KTb3Te4 at its relaxed geometry.

As for the raw total energy: -76.80 eV/cell.

It has space group P6_3/mmc (No. 194), with a = 4.4359 Å, b = 4.4359 Å, c = 30.7589 Å, α = 90.00°, β = 90.00° and γ = 120.00°. The asymmetric unit holds K at (0.3333, 0.6667, 0.2500), Tb at (0.0000, 0.0000, 0.0000), Tb at (0.3333, 0.6667, 0.6146), Te at (0.0000, 0.0000, 0.1710) and Te at (0.3333, 0.6667, 0.0571).

Record 20
The following is a DFT calculation (PBE) of crystalline KTb4Te6 at its relaxed geometry.

As for the raw total energy: -213.42 eV/cell.

It has space group Cmcm (No. 63), with a = 4.4335 Å, b = 14.6235 Å, c = 23.2328 Å, α = 90.00°, β = 90.00° and γ = 90.00°. The asymmetric unit holds K at (0.0000, 0.1613, 0.2500), Tb at (0.0000, 0.0922, 0.6306), Tb at (0.0000, 0.3650, 0.5400), Te at (0.0000, 0.0000, 0.0000), Te at (0.0000, 0.1572, 0.7500), Te at (0.0000, 0.2716, 0.0824) and Te at (0.0000, 0.4558, 0.6562).

Record 21
The following is a DFT calculation (PBE) of crystalline K3TbTh2Te6 at its relaxed geometry.

As for the raw total energy: -113.06 eV/cell.

It has space group C2/m (No. 12), with a = 7.7639 Å, b = 13.4460 Å, c = 8.8001 Å, α = 90.00°, β = 107.10° and γ = 90.00°. The asymmetric unit holds K at (0.0000, 0.0000, 0.0000), K at (0.0000, 0.3320, 0.0000), Tb at (0.0000, 0.5000, 0.5000), Th at (0.0000, 0.1663, 0.5000), Te at (0.2369, 0.3352, 0.7168) and Te at (0.2433, 0.0000, 0.7175).

Record 22
The following is a DFT calculation (PBE) of crystalline K2TbTh2Te6 at its relaxed geometry.

As for the raw total energy: -108.91 eV/cell.

It has space group C2/m (No. 12), with a = 7.7307 Å, b = 13.3783 Å, c = 8.9100 Å, α = 90.00°, β = 106.97° and γ = 90.00°. The asymmetric unit holds K at (0.0000, 0.1676, 0.0000), Tb at (0.0000, 0.0000, 0.5000), Th at (0.0000, 0.3329, 0.5000), Te at (0.2382, 0.1639, 0.7134) and Te at (0.2397, 0.5000, 0.7125).

Record 23
The following is a DFT calculation (PBE) of crystalline K3Tb2TiTe6 at its relaxed geometry.

As for the raw total energy: -107.00 eV/cell.

It has space group C2/m (No. 12), with a = 7.6249 Å, b = 13.2140 Å, c = 8.6087 Å, α = 90.00°, β = 107.27° and γ = 90.00°. The asymmetric unit holds K at (0.0000, 0.0000, 0.0000), K at (0.0000, 0.3272, 0.0000), Tb at (0.0000, 0.1659, 0.5000), Ti at (0.0000, 0.5000, 0.5000), Te at (0.2243, 0.3430, 0.7023) and Te at (0.2449, 0.5000, 0.2960).

Record 24
The following is a DFT calculation (PBE) of crystalline K3TbTm2Te6 at its relaxed geometry.

As for the raw total energy: -104.59 eV/cell.

It has space group C2/m (No. 12), with a = 7.7447 Å, b = 13.4142 Å, c = 8.6364 Å, α = 90.00°, β = 107.39° and γ = 90.00°. The asymmetric unit holds K at (0.0000, 0.0000, 0.0000), K at (0.0000, 0.3345, 0.0000), Tb at (0.0000, 0.5000, 0.5000), Tm at (0.0000, 0.1668, 0.5000), Te at (0.2317, 0.0000, 0.7068) and Te at (0.2376, 0.3314, 0.7071).

Record 25
The following is a DFT calculation (PBE) of crystalline KTb2Tm3Te6 at its relaxed geometry.

As for the raw total energy: -115.40 eV/cell.

It has space group C2/m (No. 12), with a = 19.3128 Å, b = 4.3344 Å, c = 8.9757 Å, α = 90.00°, β = 104.52° and γ = 90.00°. The asymmetric unit holds K at (0.0000, 0.0000, 0.0000), Tb at (0.1723, 0.5000, 0.3501), Tm at (0.0000, 0.0000, 0.5000), Tm at (0.1620, 0.5000, 0.8236), Te at (0.0025, 0.5000, 0.2687), Te at (0.1632, 0.0000, 0.5894) and Te at (0.1751, 0.0000, 0.0846).

no.,size of the total moment (μB per atom)
1,0.000
2,0.000
3,0.000
4,0.001
5,0.000
6,0.000
7,0.000
8,0.000
9,0.018
10,0.000
11,0.078
12,0.685
13,0.000
14,0.000
15,0.587
16,0.275
17,0.056
18,0.000
19,0.000
20,0.000
21,0.000
22,0.000
23,0.083
24,0.000
25,0.000